# GGA-PBE Nd2MnP3Pt4, optimized geometry
# - symmetry = P-4m2
# - DOS(E_F) (states/eV per atom) = 0.5058
# - crystal system = tetragonal
# - energy relative to the elements (meV per atom) = -885
data_Nd2MnP3Pt4
_cell_length_a 4.2104
_cell_length_b 4.2104
_cell_length_c 10.1286
_cell_angle_alpha 90.00
_cell_angle_beta 90.00
_cell_angle_gamma 90.00
_symmetry_space_group_name_H-M 'P 1'
_symmetry_Int_Tables_number 1
loop_
_symmetry_equiv_pos_as_xyz
'x,y,z'
loop_
_atom_site_label
_atom_site_fract_x
_atom_site_fract_y
_atom_site_fract_z
Nd1 0.0000 0.5000 0.2430
Nd2 0.5000 0.0000 0.7570
Mn1 0.0000 0.0000 0.5000
P1 0.0000 0.5000 0.8659
P2 0.5000 0.0000 0.1341
P3 0.5000 0.5000 0.5000
Pt1 0.0000 0.0000 0.0000
Pt2 0.0000 0.5000 0.6343
Pt3 0.5000 0.0000 0.3657
Pt4 0.5000 0.5000 0.0000

# GGA-PBE NaPmDyAl, optimized geometry
# - symmetry = F-43m
# - DOS(E_F) (states/eV per atom) = 1.1536
# - crystal system = cubic
# - energy relative to the elements (meV per atom) = -44
data_NaPmDyAl
_cell_length_a 5.3455
_cell_length_b 5.3455
_cell_length_c 5.3455
_cell_angle_alpha 60.00
_cell_angle_beta 60.00
_cell_angle_gamma 60.00
_symmetry_space_group_name_H-M 'P 1'
_symmetry_Int_Tables_number 1
loop_
_symmetry_equiv_pos_as_xyz
'x,y,z'
loop_
_atom_site_label
_atom_site_fract_x
_atom_site_fract_y
_atom_site_fract_z
Na1 0.0000 0.0000 0.0000
Pm1 0.7500 0.7500 0.7500
Dy1 0.2500 0.2500 0.2500
Al1 0.5000 0.5000 0.5000

# GGA-PBE HoPuGaOs, optimized geometry
# - symmetry = F-43m
# - DOS(E_F) (states/eV per atom) = 1.8017
# - crystal system = cubic
# - energy relative to the elements (meV per atom) = -207
data_HoPuGaOs
_cell_length_a 4.9049
_cell_length_b 4.9049
_cell_length_c 4.9049
_cell_angle_alpha 60.00
_cell_angle_beta 60.00
_cell_angle_gamma 60.00
_symmetry_space_group_name_H-M 'P 1'
_symmetry_Int_Tables_number 1
loop_
_symmetry_equiv_pos_as_xyz
'x,y,z'
loop_
_atom_site_label
_atom_site_fract_x
_atom_site_fract_y
_atom_site_fract_z
Ho1 0.0000 0.0000 0.0000
Pu1 0.5000 0.5000 0.5000
Ga1 0.7500 0.7500 0.7500
Os1 0.2500 0.2500 0.2500

# GGA-PBE La2MnSiC, optimized geometry
# - symmetry = P4/mmm
# - DOS(E_F) (states/eV per atom) = 0.7266
# - uncorrected formation energy (eV per atom) = -0.205
# - crystal system = tetragonal
data_La2MnSiC
_cell_length_a 5.3184
_cell_length_b 5.3184
_cell_length_c 3.8359
_cell_angle_alpha 90.00
_cell_angle_beta 90.00
_cell_angle_gamma 90.00
_symmetry_space_group_name_H-M 'P 1'
_symmetry_Int_Tables_number 1
loop_
_symmetry_equiv_pos_as_xyz
'x,y,z'
loop_
_atom_site_label
_atom_site_fract_x
_atom_site_fract_y
_atom_site_fract_z
La1 0.0000 0.5000 0.0000
La2 0.5000 0.0000 0.0000
Mn1 0.0000 0.0000 0.5000
Si1 0.5000 0.5000 0.5000
C1 0.0000 0.0000 0.0000